Density functional theory data (PBE) for crystalline Sm4HoTl2 at its relaxed geometry.

Values from the calculation:
Calculated formation energy in meV/atom: 182
Symmetry: I4/mmm (139)
Polymorph energy (0 for the lowest one) in meV per atom: 142

Geometry as POSCAR:
```
Sm4HoTl2
1.0
-3.441 4.819 0.274
-3.745 -2.451 -3.886
0.288 -3.814 6.642
Sm Ho Tl
4 1 2
Direct
0.750 0.250 0.500
0.250 0.750 0.500
0.500 0.000 0.000
0.000 0.500 0.000
0.000 0.000 0.000
0.629 0.629 0.258
0.371 0.371 0.742
```